No. 1
Material: SrMn3Be
Method: DFT, PBE
State: optimized geometry

Results
**Volume**: 91.48 Å³ per cell
**ΔE_f**: 0.6337 eV/atom
**DOS(E_F)**: 5.25 states/eV/cell
**Energy above the most stable polymorph in this dataset**: 0 meV per atom
**Total magnetic moment**: 10.21 Bohr magnetons per cell

Cell lengths 4.506, 4.506, 4.506 Å; angles 90.00, 90.00, 90.00 degrees
Atoms (fractional coordinates):
Sr1 0.000 0.000 0.000
Mn1 0.000 0.500 0.500
Mn2 0.500 0.000 0.500
Mn3 0.500 0.500 0.000
Be1 0.500 0.500 0.500

No. 2
Material: Ta2MoPt
Method: DFT, PBE
State: optimized geometry

Results
**Volume**: 134.81 Å³ per cell
**ΔE_f**: -0.2183 eV/atom
**DOS(E_F)**: 6.88 states/eV/cell
**Total magnetic moment**: 0.00 Bohr magnetons per cell

Cell lengths 5.758, 8.875, 2.769 Å; angles 90.00, 107.67, 90.00 degrees
Atoms (fractional coordinates):
Ta1 0.250 0.250 0.000
Ta2 0.250 0.750 0.000
Ta3 0.750 0.250 0.000
Ta4 0.750 0.750 0.000
Mo1 0.000 0.000 0.500
Mo2 0.500 0.500 0.500
Pt1 0.000 0.500 0.500
Pt2 0.500 0.000 0.500

No. 3
Material: Na3UAg2O6
Method: DFT, PBE
State: optimized geometry

Results
**Volume**: 164.94 Å³ per cell
**DOS(E_F)**: 5.87 states/eV/cell
**Calculated total energy**: -70.908 eV per cell
**Total magnetic moment**: 0.98 Bohr magnetons per cell

Cell lengths 5.913, 5.913, 5.805 Å; angles 97.68, 97.68, 122.24 degrees
Atoms (fractional coordinates):
Na1 0.000 0.000 0.000
Na2 0.319 0.681 0.000
Na3 0.681 0.319 0.000
U1 0.500 0.500 0.500
Ag1 0.164 0.836 0.500
Ag2 0.836 0.164 0.500
O1 0.121 0.408 0.277
O2 0.306 0.306 0.745
O3 0.408 0.121 0.277
O4 0.592 0.879 0.723
O5 0.694 0.694 0.255
O6 0.879 0.592 0.723

No. 4
Material: KTa2Te
Method: DFT, PBE
State: optimized geometry

Results
**Volume**: 184.62 Å³ per cell
**DOS(E_F)**: 10.50 states/eV/cell
**Calculated total energy**: -47.210 eV per cell
**Total magnetic moment**: 0.01 Bohr magnetons per cell

Cell lengths 4.216, 4.216, 10.387 Å; angles 90.00, 90.00, 90.00 degrees
Atoms (fractional coordinates):
K1 0.000 0.000 0.000
K2 0.500 0.500 0.500
Ta1 0.000 0.500 0.250
Ta2 0.000 0.500 0.750
Ta3 0.500 0.000 0.250
Ta4 0.500 0.000 0.750
Te1 0.000 0.000 0.500
Te2 0.500 0.500 0.000

No. 5
Material: ErTlAgI5
Method: DFT, PBE
State: optimized geometry

Results
**Volume**: 700.56 Å³ per cell
**DOS(E_F)**: 0.00 states/eV/cell
**Calculated total energy**: -49.269 eV per cell
**Total magnetic moment**: 0.00 Bohr magnetons per cell

Cell lengths 8.408, 8.408, 11.266 Å; angles 102.43, 102.43, 108.79 degrees
Atoms (fractional coordinates):
Er1 0.000 0.000 0.000
Er2 0.000 0.000 0.500
Tl1 0.372 0.628 0.750
Tl2 0.628 0.372 0.250
Ag1 0.310 0.690 0.250
Ag2 0.690 0.310 0.750
I1 0.067 0.679 0.389
I2 0.085 0.915 0.750
I3 0.245 0.377 0.050
I4 0.321 0.933 0.111
I5 0.377 0.245 0.550
I6 0.623 0.755 0.450
I7 0.679 0.067 0.889
I8 0.755 0.623 0.950
I9 0.915 0.085 0.250
I10 0.933 0.321 0.611

No. 6
Material: Ta2ReMo
Method: DFT, PBE
State: optimized geometry

Results
**Volume**: 265.90 Å³ per cell
**ΔE_f**: -0.3441 eV/atom
**DOS(E_F)**: 7.97 states/eV/cell
**Energy above the most stable polymorph in this dataset**: 4 meV per atom
**Total magnetic moment**: 0.00 Bohr magnetons per cell

Cell lengths 6.430, 6.430, 6.430 Å; angles 90.00, 90.00, 90.00 degrees
Atoms (fractional coordinates):
Ta1 0.250 0.250 0.250
Ta2 0.250 0.250 0.750
Ta3 0.250 0.750 0.250
Ta4 0.250 0.750 0.750
Ta5 0.750 0.250 0.250
Ta6 0.750 0.250 0.750
Ta7 0.750 0.750 0.250
Ta8 0.750 0.750 0.750
Re1 0.000 0.000 0.000
Re2 0.000 0.500 0.500
Re3 0.500 0.000 0.500
Re4 0.500 0.500 0.000
Mo1 0.000 0.000 0.500
Mo2 0.000 0.500 0.000
Mo3 0.500 0.000 0.000
Mo4 0.500 0.500 0.500

No. 7
Material: RbSCl2O
Method: DFT, PBE
State: optimized geometry

Results
**Volume**: 282.37 Å³ per cell
**DOS(E_F)**: 16.04 states/eV/cell
**Energy above the most stable polymorph in this dataset**: 1186 meV per atom
**Total magnetic moment**: 5.02 Bohr magnetons per cell

Cell lengths 6.342, 6.342, 7.020 Å; angles 90.00, 90.00, 90.00 degrees
Atoms (fractional coordinates):
Rb1 0.000 0.000 0.000
S1 0.000 0.000 0.500
Cl1 0.000 0.500 0.000
Cl2 0.500 0.000 0.000
O1 0.500 0.500 0.500

No. 8
Material: Mg2BePd8
Method: DFT, PBE
State: optimized geometry

Results
**Volume**: 167.96 Å³ per cell
**ΔE_f**: -0.3951 eV/atom
**DOS(E_F)**: 9.17 states/eV/cell
**Total magnetic moment**: 0.00 Bohr magnetons per cell

Cell lengths 7.470, 7.470, 5.717 Å; angles 112.31, 112.31, 35.03 degrees
Atoms (fractional coordinates):
Mg1 0.193 0.193 0.192
Mg2 0.807 0.807 0.808
Be1 0.500 0.500 0.500
Pd1 0.000 0.000 0.245
Pd2 0.000 0.000 0.755
Pd3 0.180 0.180 0.681
Pd4 0.372 0.372 0.632
Pd5 0.373 0.373 0.112
Pd6 0.627 0.627 0.888
Pd7 0.628 0.628 0.368
Pd8 0.820 0.820 0.319

No. 9
Material: CaIn3Cu
Method: DFT, PBE
State: optimized geometry

Results
**Volume**: 476.54 Å³ per cell
**ΔE_f**: -0.2397 eV/atom
**DOS(E_F)**: 8.92 states/eV/cell
**Energy above the most stable polymorph in this dataset**: 0 meV per atom
**Total magnetic moment**: 0.00 Bohr magnetons per cell

Cell lengths 9.150, 4.401, 11.833 Å; angles 90.00, 90.00, 90.00 degrees
Atoms (fractional coordinates):
Ca1 0.187 0.250 0.002
Ca2 0.313 0.750 0.502
Ca3 0.687 0.250 0.498
Ca4 0.813 0.750 0.998
In1 0.062 0.250 0.414
In2 0.107 0.750 0.205
In3 0.140 0.750 0.790
In4 0.360 0.250 0.290
In5 0.393 0.250 0.705
In6 0.438 0.750 0.914
In7 0.562 0.250 0.086
In8 0.607 0.750 0.295
In9 0.640 0.750 0.710
In10 0.860 0.250 0.210
In11 0.893 0.250 0.795
In12 0.938 0.750 0.586
Cu1 0.114 0.250 0.639
Cu2 0.386 0.750 0.139
Cu3 0.614 0.250 0.861
Cu4 0.886 0.750 0.361

No. 10
Material: Mn2NiHg
Method: DFT, PBE
State: optimized geometry

Results
**Volume**: 60.47 Å³ per cell
**ΔE_f**: 0.2663 eV/atom
**DOS(E_F)**: 2.90 states/eV/cell
**Total magnetic moment**: 7.87 Bohr magnetons per cell

Cell lengths 3.966, 3.966, 3.845 Å; angles 90.00, 90.00, 90.00 degrees
Atoms (fractional coordinates):
Mn1 0.000 0.500 0.000
Mn2 0.500 0.000 0.000
Ni1 0.000 0.000 0.500
Hg1 0.500 0.500 0.500

No. 11
Material: TiCdNF2
Method: DFT, PBE
State: optimized geometry

Results
**Volume**: 65.62 Å³ per cell
**DOS(E_F)**: 2.02 states/eV/cell
**Energy above the most stable polymorph in this dataset**: 0 meV per atom
**Total magnetic moment**: 0.45 Bohr magnetons per cell

Cell lengths 4.022, 4.022, 4.057 Å; angles 90.00, 90.00, 90.00 degrees
Atoms (fractional coordinates):
Ti1 0.000 0.000 0.000
Cd1 0.500 0.500 0.500
N1 0.000 0.000 0.500
F1 0.000 0.500 0.000
F2 0.500 0.000 0.000

No. 12
Material: HgPdRu2Pb
Method: DFT, PBE
State: optimized geometry

Results
**Volume**: 121.62 Å³ per cell
**ΔE_f**: 1.3034 eV/atom
**DOS(E_F)**: 6.53 states/eV/cell
**Total magnetic moment**: 4.20 Bohr magnetons per cell

Cell lengths 4.898, 4.898, 5.070 Å; angles 90.00, 90.00, 90.00 degrees
Atoms (fractional coordinates):
Hg1 0.000 0.000 0.000
Pd1 0.000 0.000 0.500
Ru1 0.000 0.500 0.500
Ru2 0.500 0.000 0.500
Pb1 0.500 0.500 0.000

No. 13
Material: Er2InAg3
Method: DFT, PBE
State: optimized geometry

Results
**Volume**: 268.42 Å³ per cell
**ΔE_f**: -0.3008 eV/atom
**DOS(E_F)**: 8.08 states/eV/cell
**Energy above the most stable polymorph in this dataset**: 0 meV per atom
**Total magnetic moment**: 0.00 Bohr magnetons per cell

Cell lengths 9.718, 9.060, 5.842 Å; angles 78.13, 65.83, 36.04 degrees
Atoms (fractional coordinates):
Er1 0.246 0.754 0.754
Er2 0.250 0.250 0.250
Er3 0.750 0.750 0.750
Er4 0.754 0.246 0.246
In1 0.334 0.334 0.666
In2 0.666 0.666 0.334
Ag1 0.167 0.167 0.833
Ag2 0.167 0.668 0.332
Ag3 0.332 0.833 0.167
Ag4 0.668 0.167 0.833
Ag5 0.833 0.332 0.668
Ag6 0.833 0.833 0.167

No. 14
Material: OsI3Br
Method: DFT, PBE
State: optimized geometry

Results
**Volume**: 206.28 Å³ per cell
**DOS(E_F)**: 14.63 states/eV/cell
**Energy above the most stable polymorph in this dataset**: 1630 meV per atom
**Total magnetic moment**: 4.91 Bohr magnetons per cell

Cell lengths 5.909, 5.909, 5.909 Å; angles 90.00, 90.00, 90.00 degrees
Atoms (fractional coordinates):
Os1 0.000 0.000 0.000
I1 0.000 0.500 0.500
I2 0.500 0.000 0.500
I3 0.500 0.500 0.000
Br1 0.500 0.500 0.500

No. 15
Material: Ni5IrPt8
Method: DFT, PBE
State: optimized geometry

Results
**Volume**: 207.69 Å³ per cell
**ΔE_f**: 0.1971 eV/atom
**DOS(E_F)**: 23.83 states/eV/cell
**Total magnetic moment**: 5.61 Bohr magnetons per cell

Cell lengths 6.462, 6.462, 6.462 Å; angles 109.51, 109.51, 109.39 degrees
Atoms (fractional coordinates):
Ni1 0.000 0.000 0.000
Ni2 0.202 0.527 0.910
Ni3 0.473 0.383 0.676
Ni4 0.617 0.293 0.090
Ni5 0.707 0.798 0.324
Ir1 0.250 0.750 0.500
Pt1 0.154 0.086 0.724
Pt2 0.361 0.429 0.276
Pt3 0.411 0.010 0.265
Pt4 0.571 0.846 0.932
Pt5 0.745 0.146 0.735
Pt6 0.854 0.589 0.599
Pt7 0.914 0.639 0.068
Pt8 0.990 0.255 0.401

No. 16
Material: LaPm3NdSc
Method: DFT, PBE
State: optimized geometry

Results
**Volume**: 400.75 Å³ per cell
**ΔE_f**: 0.0941 eV/atom
**DOS(E_F)**: 20.31 states/eV/cell
**Total magnetic moment**: 0.00 Bohr magnetons per cell

Cell lengths 6.651, 6.651, 11.586 Å; angles 90.00, 90.00, 128.57 degrees
Atoms (fractional coordinates):
La1 0.027 0.973 0.750
La2 0.973 0.027 0.250
Pm1 0.180 0.820 0.030
Pm2 0.180 0.820 0.470
Pm3 0.326 0.674 0.750
Pm4 0.674 0.326 0.250
Pm5 0.820 0.180 0.530
Pm6 0.820 0.180 0.970
Nd1 0.500 0.500 0.000
Nd2 0.500 0.500 0.500
Sc1 0.351 0.649 0.250
Sc2 0.649 0.351 0.750

No. 17
Material: Hg2Sb2Pb5
Method: DFT, PBE
State: optimized geometry

Results
**Volume**: 576.34 Å³ per cell
**DOS(E_F)**: 7.57 states/eV/cell
**Energy above the most stable polymorph in this dataset**: 16 meV per atom
**Total magnetic moment**: 0.00 Bohr magnetons per cell

Cell lengths 10.471, 10.471, 10.471 Å; angles 66.48, 135.55, 133.26 degrees
Atoms (fractional coordinates):
Hg1 0.089 0.071 0.160
Hg2 0.089 0.429 0.518
Hg3 0.911 0.571 0.482
Hg4 0.911 0.929 0.840
Sb1 0.459 0.819 0.140
Sb2 0.504 0.004 0.500
Sb3 0.504 0.504 0.000
Sb4 0.679 0.319 0.860
Pb1 0.207 0.178 0.722
Pb2 0.207 0.985 0.528
Pb3 0.456 0.485 0.278
Pb4 0.456 0.678 0.472
Pb5 0.523 0.156 0.186
Pb6 0.523 0.837 0.867
Pb7 0.930 0.191 0.239
Pb8 0.953 0.691 0.761
Pb9 0.970 0.337 0.814
Pb10 0.970 0.656 0.133

No. 18
Material: Ca2Cu
Method: DFT, PBE
State: optimized geometry

Results
**Volume**: 348.30 Å³ per cell
**ΔE_f**: 0.0124 eV/atom
**DOS(E_F)**: 12.96 states/eV/cell
**Total magnetic moment**: 0.00 Bohr magnetons per cell

Cell lengths 3.674, 17.961, 5.279 Å; angles 90.00, 90.00, 90.00 degrees
Atoms (fractional coordinates):
Ca1 0.000 0.068 0.250
Ca2 0.000 0.200 0.750
Ca3 0.000 0.800 0.250
Ca4 0.000 0.932 0.750
Ca5 0.500 0.300 0.250
Ca6 0.500 0.432 0.750
Ca7 0.500 0.568 0.250
Ca8 0.500 0.700 0.750
Cu1 0.000 0.434 0.250
Cu2 0.000 0.566 0.750
Cu3 0.500 0.066 0.750
Cu4 0.500 0.934 0.250

No. 19
Material: ScBe9Pd2
Method: DFT, PBE
State: optimized geometry

Results
**Volume**: 241.32 Å³ per cell
**ΔE_f**: -0.3538 eV/atom
**DOS(E_F)**: 6.16 states/eV/cell
**Energy above the most stable polymorph in this dataset**: 3 meV per atom
**Total magnetic moment**: 0.00 Bohr magnetons per cell

Cell lengths 4.440, 4.440, 14.134 Å; angles 90.00, 90.00, 120.00 degrees
Atoms (fractional coordinates):
Sc1 0.333 0.667 0.250
Sc2 0.667 0.333 0.750
Be1 0.000 0.000 0.000
Be2 0.000 0.000 0.250
Be3 0.000 0.000 0.500
Be4 0.000 0.000 0.750
Be5 0.168 0.336 0.622
Be6 0.168 0.336 0.878
Be7 0.168 0.832 0.622
Be8 0.168 0.832 0.878
Be9 0.333 0.667 0.750
Be10 0.336 0.168 0.122
Be11 0.336 0.168 0.378
Be12 0.664 0.832 0.622
Be13 0.664 0.832 0.878
Be14 0.667 0.333 0.250
Be15 0.832 0.168 0.122
Be16 0.832 0.168 0.378
Be17 0.832 0.664 0.122
Be18 0.832 0.664 0.378
Pd1 0.333 0.667 0.043
Pd2 0.333 0.667 0.457
Pd3 0.667 0.333 0.543
Pd4 0.667 0.333 0.957

No. 20
Material: Al2V2Bi
Method: DFT, PBE
State: optimized geometry

Results
**Volume**: 178.63 Å³ per cell
**ΔE_f**: 0.2008 eV/atom
**DOS(E_F)**: 5.12 states/eV/cell
**Total magnetic moment**: 0.00 Bohr magnetons per cell

Cell lengths 7.419, 7.419, 3.245 Å; angles 90.00, 90.00, 90.00 degrees
Atoms (fractional coordinates):
Al1 0.184 0.316 0.000
Al2 0.316 0.816 0.000
Al3 0.684 0.184 0.000
Al4 0.816 0.684 0.000
V1 0.105 0.605 0.500
V2 0.395 0.105 0.500
V3 0.605 0.895 0.500
V4 0.895 0.395 0.500
Bi1 0.000 0.000 0.500
Bi2 0.500 0.500 0.500